[1]
KMo2P: relaxed, PBE-GGA.

a b c (Å): 11.801 2.647 5.280
angles (deg): 90.00 113.03 90.00
Space group C2/m (No. 12)
Inequivalent atoms, fractional coordinates:
K (0.000, 0.000, 0.000) x2
Mo (0.198, 0.000, 0.677) x4
P (0.000, 0.500, 0.500) x2

Summary:
- Crystal system: monoclinic
- Energy relative to the elements: 2.47 eV/f.u.

***

[2]
KMoPS2: relaxed, PBE-GGA.

a b c (Å): 5.350 5.350 5.439
angles (deg): 90.00 90.00 90.00
Space group P4/mmm (No. 123)
Inequivalent atoms, fractional coordinates:
K (0.000, 0.000, 0.000) x1
Mo (0.500, 0.500, 0.500) x1
P (0.000, 0.000, 0.500) x1
S (0.000, 0.500, 0.000) x2

Summary:
- Crystal system: tetragonal
- Relative energy among the computed polymorphs: 11.33 eV per formula unit
- Formation energy without anion corrections: 1.95 eV per atom

***

[3]
KMoPS2: relaxed, PBE-GGA.

a b c (Å): 4.825 4.825 4.734
angles (deg): 90.00 90.00 90.00
Space group P4/mmm (No. 123)
Inequivalent atoms, fractional coordinates:
K (0.000, 0.000, 0.000) x1
Mo (0.500, 0.500, 0.500) x1
P (0.500, 0.500, 0.000) x1
S (0.000, 0.500, 0.500) x2

Summary:
- Crystal system: tetragonal
- Relative energy among the computed polymorphs: 0.00 eV per formula unit
- Formation energy without anion corrections: -0.32 eV per atom

***

Number 1: volume 18.974 A^3/atom, DFT total energy -6.426 eV per atom. Number 2: volume 31.129 A^3/atom, DFT total energy -3.170 eV per atom. Number 3: volume 22.043 A^3/atom, DFT total energy -5.436 eV per atom.